Computed, not measured: a relaxed structure of ErTmGeIr at the GGA-PBE level of DFT.

```
ErTmGeIr
1.0
6.9326 0.0000 0.0000
0.0000 6.9326 0.0000
0.0000 0.0000 6.9326
Er Tm Ge Ir
4 4 4 4
Direct
0.0000 0.0000 0.0000
0.0000 0.5000 0.5000
0.5000 0.0000 0.5000
0.5000 0.5000 0.0000
0.0000 0.0000 0.5000
0.0000 0.5000 0.0000
0.5000 0.0000 0.0000
0.5000 0.5000 0.5000
0.2500 0.2500 0.2500
0.2500 0.7500 0.7500
0.7500 0.2500 0.7500
0.7500 0.7500 0.2500
0.2500 0.2500 0.7500
0.2500 0.7500 0.2500
0.7500 0.2500 0.2500
0.7500 0.7500 0.7500
```

Output
Its space-group type is F-43m (216). The calculation puts the density of states at the Fermi level at 0.736 states/eV/atom. Its energy above the most stable polymorph in this dataset is 149.4 meV/atom.

***

Computed, not measured: a relaxed structure of ErTmGeIr at the GGA-PBE level of DFT.

```
ErTmGeIr
1.0
4.0656 0.0000 0.0000
0.0000 4.0431 0.0000
0.0000 0.0000 10.5392
Er Tm Ge Ir
2 2 2 2
Direct
0.0000 0.0000 0.0000
0.0000 0.5000 0.5000
0.5000 0.0000 0.2814
0.5000 0.5000 0.7814
0.0000 0.0000 0.7146
0.0000 0.5000 0.2146
0.5000 0.0000 0.5582
0.5000 0.5000 0.0582
```

Output
Its space-group type is Amm2 (38). The calculation puts the density of states at the Fermi level at 0.587 states/eV/atom. Its energy above the most stable polymorph in this dataset is 0.0 meV/atom.

***

Computed, not measured: a relaxed structure of Er2ZnGe3Ir4 at the GGA-PBE level of DFT.

```
Er2ZnGe3Ir4
1.0
4.1378 0.0000 0.0000
0.0000 4.1378 0.0000
0.0000 0.0000 10.4604
Er Zn Ge Ir
2 1 3 4
Direct
0.0000 0.5000 0.2468
0.5000 0.0000 0.7532
0.0000 0.0000 0.5000
0.0000 0.5000 0.8686
0.5000 0.0000 0.1314
0.5000 0.5000 0.5000
0.0000 0.0000 0.0000
0.0000 0.5000 0.6387
0.5000 0.0000 0.3613
0.5000 0.5000 0.0000
```

Output
Its space-group type is P-4m2 (115). The calculation puts the density of states at the Fermi level at 0.620 states/eV/atom. The energy comes out at -6.669 eV/atom.

***

Computed, not measured: a relaxed structure of Er2ZnGe4Ir3 at the GGA-PBE level of DFT.

```
Er2ZnGe4Ir3
1.0
4.1716 0.0000 0.0000
0.0000 4.1716 0.0000
0.0000 0.0000 10.4334
Er Zn Ge Ir
2 1 4 3
Direct
0.0000 0.5000 0.2430
0.5000 0.0000 0.7570
0.0000 0.0000 0.5000
0.0000 0.0000 0.0000
0.0000 0.5000 0.6396
0.5000 0.0000 0.3604
0.5000 0.5000 0.0000
0.0000 0.5000 0.8710
0.5000 0.0000 0.1290
0.5000 0.5000 0.5000
```

Output
Its space-group type is P-4m2 (115). The calculation puts the density of states at the Fermi level at 0.469 states/eV/atom. The energy comes out at -6.167 eV/atom.

***

Computed, not measured: a relaxed structure of Er2ZnGe2Ir5 at the GGA-PBE level of DFT.

```
Er2ZnGe2Ir5
1.0
9.6594 0.0000 0.0000
0.0000 9.6594 0.0000
0.0000 0.0000 3.5963
Er Zn Ge Ir
4 2 4 10
Direct
0.1728 0.3272 0.0000
0.3272 0.8272 0.0000
0.6728 0.1728 0.0000
0.8272 0.6728 0.0000
0.0000 0.0000 0.0000
0.5000 0.5000 0.0000
0.1276 0.6276 0.0000
0.3724 0.1276 0.0000
0.6276 0.8724 0.0000
0.8724 0.3724 0.0000
0.0000 0.5000 0.5000
0.0650 0.7959 0.5000
0.2041 0.0650 0.5000
0.2959 0.5650 0.5000
0.4350 0.2959 0.5000
0.5000 0.0000 0.5000
0.5650 0.7041 0.5000
0.7041 0.4350 0.5000
0.7959 0.9350 0.5000
0.9350 0.2041 0.5000
```

Output
Its space-group type is P4/mbm (127). The calculation puts the density of states at the Fermi level at 0.156 states/eV/atom. The energy comes out at -6.993 eV/atom.

***

Computed, not measured: a relaxed structure of KErGe at the GGA-PBE level of DFT.

```
KErGe
1.0
5.1710 0.0000 0.0000
0.0000 5.1710 0.0000
0.0000 0.0000 7.6874
K Er Ge
2 2 2
Direct
0.2500 0.2500 0.1173
0.7500 0.7500 0.8827
0.2500 0.7500 0.5000
0.7500 0.2500 0.5000
0.2500 0.2500 0.6709
0.7500 0.7500 0.3291
```

Output
Its space-group type is P4/nmm (129). The energy comes out at -3.825 eV/atom.

***

Computed, not measured: a relaxed structure of K2ErGeO4 at the GGA-PBE level of DFT.

```
K2ErGeO4
1.0
5.8822 0.0000 0.0000
0.0000 5.8822 0.0000
0.0000 0.0000 9.0325
K Er Ge O
4 2 2 8
Direct
0.0000 0.0000 0.0000
0.0000 0.5000 0.2500
0.5000 0.0000 0.7500
0.5000 0.5000 0.5000
0.0000 0.0000 0.5000
0.5000 0.5000 0.0000
0.0000 0.5000 0.7500
0.5000 0.0000 0.2500
0.1289 0.7291 0.6350
0.2291 0.3711 0.8650
0.2709 0.1289 0.3650
0.3711 0.7709 0.1350
0.6289 0.2291 0.1350
0.7291 0.8711 0.3650
0.7709 0.6289 0.8650
0.8711 0.2709 0.6350
```

Output
Its space-group type is I-4 (82). The calculation puts the density of states at the Fermi level at 0.145 states/eV/atom. The value obtained for the raw formation energy is -2011 meV/atom.

***

Computed, not measured: a relaxed structure of KErGe2O6 at the GGA-PBE level of DFT.

```
KErGe2O6
1.0
5.1836 -5.3394 0.0000
5.1836 5.3394 0.0000
-0.6222 0.0000 5.3423
K Er Ge O
2 2 4 12
Direct
0.0894 0.9106 0.7500
0.9106 0.0894 0.2500
0.2808 0.7192 0.2500
0.7192 0.2808 0.7500
0.2097 0.3834 0.7241
0.3834 0.2097 0.2241
0.6166 0.7903 0.7759
0.7903 0.6166 0.2759
0.0096 0.2534 0.6924
0.1970 0.5899 0.8853
0.2534 0.0096 0.1924
0.2780 0.4008 0.4013
0.4008 0.2780 0.9013
0.4101 0.8030 0.6147
0.5899 0.1970 0.3853
0.5992 0.7220 0.0987
0.7220 0.5992 0.5987
0.7466 0.9904 0.8076
0.8030 0.4101 0.1147
0.9904 0.7466 0.3076
```

Output
Its space-group type is C2/c (15). The calculation puts the density of states at the Fermi level at 0.000 states/eV/atom. The value obtained for the raw formation energy is -2155 meV/atom.

***

Short version: volume = 333 173 179 182 336 206 313 296 Å³/cell, in the order given.